Fe2ReAs | PBE-GGA | relaxed

Cell lengths 2.8132, 2.8132, 24.1582 Å; angles 90.00, 90.00, 120.00 degrees
Space group R3m (No. 160, hexagonal axes)
Asymmetric unit:
Fe  0.0000  0.0000  0.0000 x3
Fe  0.0000  0.0000  0.2553 x3
Re  0.0000  0.0000  0.7503 x3
As  0.0000  0.0000  0.5067 x3

## Properties
- Crystal system: trigonal
- Energy above the lowest structure with this stoichiometry: 0.163 eV per atom

***

FeRe2AsW | PBE-GGA | relaxed

Cell lengths 4.774, 4.774, 4.546 Å; angles 90.00, 90.00, 90.00 degrees
Space group P4/mmm (No. 123)
Asymmetric unit:
Fe  0.000  0.000  0.000 x1
Re  0.000  0.500  0.500 x2
As  0.500  0.500  0.000 x1
W  0.000  0.000  0.500 x1

## Properties
- Crystal system: tetragonal

***

FeAs2Rh | PBE-GGA | relaxed

Cell lengths 3.404, 3.404, 5.085 Å; angles 90.00, 90.00, 90.00 degrees
Space group P4mm (No. 99)
Asymmetric unit:
Fe  0.000  0.000  0.000 x1
As  0.000  0.000  0.495 x1
As  0.500  0.500  0.861 x1
Rh  0.500  0.500  0.346 x1

## Properties
- Crystal system: tetragonal

***

Result set for spin magnetization: 13.60, 3.18, 1.15 Bohr magnetons per cell, one per record in the order listed.
Result set for calculated formation energy: 0.29, 2.08, -0.16 eV per atom, one per record in the order listed.